Entry 1:
Density functional theory data (GGA-PBE) for a geometry-optimized AsRhSe2S structure.

Cell lengths 4.701, 4.701, 4.772 Å; angles 90.00, 90.00, 90.00 degrees
Each line ends with the local moment (μB).
Positions (direct):
As (0.000, 0.000, 0.500)  -0.03
Rh (0.500, 0.500, 0.500)  0.59
S (0.000, 0.000, 0.000)  -0.01
Se (0.000, 0.500, 0.000)  0.06
Se (0.500, 0.000, 0.000)  0.06

Output
formation energy (no corrections) = 0.94 eV per atom
space group = P4/mmm, No. 123
N(E_F) = 0.793 states/eV per atom

Entry 2:
Density functional theory data (GGA-PBE) for a geometry-optimized CaPuSbPb structure.

Cell lengths 5.469, 5.469, 5.469 Å; angles 60.00, 60.00, 60.00 degrees
Each line ends with the local moment (μB).
Positions (direct):
Pb (0.000, 0.000, 0.000)  -0.01
Sb (0.500, 0.500, 0.500)  -0.02
Ca (0.250, 0.250, 0.250)  0.01
Pu (0.750, 0.750, 0.750)  5.48

Output
formation energy (no corrections) = -0.40 eV per atom
space group = F-43m, No. 216
N(E_F) = 3.769 states/eV per atom

Entry 3:
Density functional theory data (GGA-PBE) for a geometry-optimized CeSmLuSn structure.

Cell lengths 5.451, 5.451, 5.451 Å; angles 60.00, 60.00, 60.00 degrees
Each line ends with the local moment (μB).
Positions (direct):
Lu (0.750, 0.750, 0.750)  0.10
Ce (0.000, 0.000, 0.000)  0.64
Sm (0.500, 0.500, 0.500)  0.02
Sn (0.250, 0.250, 0.250)  -0.01

Output
DFT formation energy = -0.2025 eV/atom
space group = F-43m, No. 216
N(E_F) = 2.480 states/eV per atom

Entry 4:
Density functional theory data (GGA-PBE) for a geometry-optimized LiGaSn structure.

Cell lengths 5.407, 7.267, 3.321 Å; angles 90.00, 107.53, 90.00 degrees
Positions (direct):
Sn (0.791, 0.788, 0.647)
Sn (0.209, 0.288, 0.353)
Ga (0.763, 0.169, 0.632)
Ga (0.237, 0.669, 0.368)
Li (0.655, 0.470, 0.078)
Li (0.345, 0.970, 0.922)

Output
DFT formation energy = -0.1784 eV/atom
space group = P2_1, No. 4
N(E_F) = 0.344 states/eV per atom

Entry 5:
Density functional theory data (GGA-PBE) for a geometry-optimized MgSi structure.

Cell lengths 6.101, 6.101, 11.584 Å; angles 70.66, 70.66, 35.72 degrees
Positions (direct):
Mg (0.314, 0.314, 0.858)
Mg (0.859, 0.859, 0.404)
Mg (0.413, 0.413, 0.150)
Mg (0.686, 0.686, 0.142)
Mg (0.141, 0.141, 0.596)
Mg (0.587, 0.587, 0.850)
Si (0.913, 0.913, 0.969)
Si (0.197, 0.197, 0.341)
Si (0.803, 0.803, 0.659)
Si (0.445, 0.445, 0.609)
Si (0.087, 0.087, 0.031)
Si (0.555, 0.555, 0.391)

Output
formation energy (no corrections) = 0.04 eV per atom
space group = C2/m, No. 12
N(E_F) = 0.190 states/eV per atom

Entry 6:
Density functional theory data (GGA-PBE) for a geometry-optimized HoEr2Ru3 structure.

Cell lengths 3.385, 4.764, 7.538 Å; angles 108.42, 90.00, 90.00 degrees
Positions (direct):
Ho (0.000, 0.000, 0.000)
Er (0.000, 0.333, 0.666)
Er (0.000, 0.667, 0.334)
Ru (0.500, 0.500, 0.000)
Ru (0.500, 0.833, 0.666)
Ru (0.500, 0.167, 0.334)

Output
DFT formation energy = -0.3735 eV/atom
space group = Cmmm, No. 65
N(E_F) = 1.152 states/eV per atom